1.
{"formula": "CePuHg", "functional": "GGA-PBE", "state": "relaxed", "ef_ev_per_atom": -0.116, "n_ef_per_ev_fu": 6.61, "sg": "I4mm, No. 107", "volume_a3_per_cell": 76.38, "de_polymorph_mev_per_atom": 47.8, "lattice_angstrom": [[-1.447, -1.426, 3.228], [3.527, -0.701, 1.272], [-0.878, 5.836, -0.068]], "species": ["Pu", "Ce", "Hg"], "fractional_positions": [[0.989, 0.989, 0.978], [0.345, 0.345, 0.689], [0.666, 0.666, 0.333]]}

***

2.
{"formula": "SbBrN2F", "functional": "GGA-PBE", "state": "relaxed", "formation_energy_uncorrected_ev_per_atom": 1.439, "n_ef_per_ev_fu": 2.04, "sg": "P4/mmm, No. 123", "volume_a3_per_cell": 73.26, "de_polymorph_mev_per_atom": 644.0, "lattice_angstrom": [[-3.912, -1.400, -0.643], [-0.231, -1.200, 4.023], [-1.501, 3.725, 1.024]], "species": ["N", "Sb", "N", "Br", "F"], "fractional_positions": [[0.500, 0.000, 0.000], [0.500, 0.500, 0.500], [0.000, 0.500, 0.000], [0.000, 0.000, 0.000], [0.000, 0.000, 0.500]]}

***

3.
{"formula": "SrMgSc2O", "functional": "GGA-PBE", "state": "relaxed", "formation_energy_uncorrected_ev_per_atom": -1.009, "n_ef_per_ev_fu": 5.81, "sg": "P4/mmm, No. 123", "volume_a3_per_cell": 108.45, "lattice_angstrom": [[4.559, 0.000, 0.000], [0.000, 4.559, 0.000], [0.000, 0.000, 5.218]], "species": ["Mg", "O", "Sc", "Sr", "Sc"], "fractional_positions": [[0.500, 0.500, 0.500], [0.000, 0.000, 0.000], [0.500, 0.000, 0.000], [0.000, 0.000, 0.500], [0.000, 0.500, 0.000]]}

***

4.
{"formula": "Ta2InNi", "functional": "GGA-PBE", "state": "relaxed", "ef_ev_per_atom": 0.032, "n_ef_per_ev_fu": 4.48, "sg": "P4/mmm, No. 123", "volume_a3_per_cell": 68.12, "lattice_angstrom": [[-2.701, -0.332, -1.006], [1.058, -0.978, -2.519], [-0.143, -7.561, 2.877]], "species": ["In", "Ta", "Ni", "Ta"], "fractional_positions": [[0.500, 0.500, 0.250], [0.000, 0.000, 0.536], [0.500, 0.500, 0.750], [0.000, 0.000, 0.964]]}